Record 1
Compound: TcBiClF2
Source: Alexandria
Functional: SCAN
Structure: PBEsol geometry

abc: 4.524 4.524 4.293
angles: 90.00 90.00 90.00
Fractional coordinates of all 5 atoms:
1 Tc 0.000 0.000 0.000
2 Bi 0.500 0.500 0.000
3 Cl 0.000 0.000 0.500
4 F 0.000 0.500 0.500
5 F 0.500 0.000 0.500

* spin magnetization: 1.461 μB per formula unit
* final energy: -25.67 eV per atom
* D(E_F): 3.09 states/eV/f.u.
* formation energy (no corrections): 70 meV/atom

***

Record 2
Compound: Sc2AlPt
Source: Alexandria
Functional: SCAN
Structure: PBEsol geometry

abc: 3.363 3.363 6.350
angles: 90.00 90.00 90.00
Fractional coordinates of all 4 atoms:
1 Sc 0.000 0.000 0.239
2 Sc 0.000 0.000 0.761
3 Al 0.500 0.500 0.500
4 Pt 0.500 0.500 0.000

* spin magnetization: 0.000 μB per formula unit
* final energy: -27.60 eV per atom
* D(E_F): 1.43 states/eV/f.u.
* formation energy from the elements: -3.99 eV per formula unit

***

Record 3
Compound: SbP2ClF
Source: Alexandria
Functional: SCAN
Structure: PBEsol geometry

abc: 4.157 4.157 5.193
angles: 90.00 90.00 90.00
Fractional coordinates of all 5 atoms:
1 Sb 0.000 0.000 0.000
2 P 0.000 0.500 0.500
3 P 0.500 0.000 0.500
4 Cl 0.500 0.500 0.000
5 F 0.500 0.500 0.500

* spin magnetization: 0.000 μB per formula unit
* final energy: -13.51 eV per atom
* D(E_F): 2.21 states/eV/f.u.
* formation energy (no corrections): 410 meV/atom

***

Record 4
Compound: ZrHRu3
Source: Alexandria
Functional: SCAN
Structure: PBEsol geometry

abc: 4.736 4.736 4.736
angles: 90.00 90.00 90.00
Fractional coordinates of all 5 atoms:
1 Zr 0.000 0.000 0.000
2 H 0.500 0.500 0.500
3 Ru 0.000 0.000 0.500
4 Ru 0.000 0.500 0.000
5 Ru 0.500 0.000 0.000

* spin magnetization: 4.956 μB per formula unit
* final energy: -25.41 eV per atom
* D(E_F): 3.41 states/eV/f.u.

***

Record 5
Compound: Na2BeGeC
Source: Alexandria
Functional: SCAN
Structure: PBEsol geometry

abc: 4.961 4.961 3.814
angles: 90.00 90.00 90.00
Fractional coordinates of all 5 atoms:
1 Na 0.000 0.500 0.000
2 Na 0.500 0.000 0.000
3 Be 0.000 0.000 0.500
4 Ge 0.500 0.500 0.500
5 C 0.500 0.500 0.000

* spin magnetization: 0.000 μB per formula unit
* final energy: -7.42 eV per atom
* D(E_F): 2.05 states/eV/f.u.
* formation energy from the elements: 4.86 eV per formula unit

***

Record 6
Compound: Cr2FeP
Source: Alexandria
Functional: SCAN
Structure: PBEsol geometry

abc: 3.587 2.602 9.230
angles: 90.00 90.00 90.00
Fractional coordinates of all 8 atoms:
1 Cr 0.000 0.000 0.000
2 Cr 0.000 0.500 0.500
3 Cr 0.500 0.000 0.345
4 Cr 0.500 0.500 0.845
5 Fe 0.000 0.000 0.738
6 Fe 0.000 0.500 0.238
7 P 0.500 0.000 0.600
8 P 0.500 0.500 0.100

* spin magnetization: 2.067 μB per formula unit
* final energy: -16.36 eV per atom
* D(E_F): 3.13 states/eV/f.u.
* formation energy from the elements: -0.15 eV per formula unit